(1)
## SrFeTc2Ag (SCAN)

Data for SrFeTc2Ag at its PBEsol-relaxed geometry.

Cell: 4.7270 4.7270 5.0183 Å, 90.00 90.00 90.00°
Last column: nearest neighbours and their distance in Å.
Space group P4/mmm (No. 123)
Symmetry-distinct sites (fractional):
Sr 0.0000 0.0000 0.0000 (multiplicity 1)  4 Tc 2.36, 2 Ag 2.51
Fe 0.5000 0.5000 0.5000 (multiplicity 1)  4 Ag 3.34, 8 Tc 3.45
Tc 0.0000 0.5000 0.0000 (multiplicity 2)  2 Sr 2.36
Ag 0.0000 0.0000 0.5000 (multiplicity 1)  2 Sr 2.51

Output
For the energy of formation, the calculation gives 2.829 eV/atom. As for the density of states at the Fermi level: 4.895 states/eV/cell. For the total moment, the calculation gives 7.27 μB/cell. Its total energy is -25.549 eV/atom.

(2)
## Y5Zn24 (SCAN)

Data for Y5Zn24 at its PBEsol-relaxed geometry.

Cell: 9.8598 9.8598 9.8598 Å, 90.00 90.00 90.00°
Last column: nearest neighbours and their distance in Å.
Space group I-43m (No. 217)
Symmetry-distinct sites (fractional):
Y 0.0000 0.0000 0.0000 (multiplicity 2)  12 Zn 3.05, 4 Y 3.32
Y 0.1942 0.1942 0.8058 (multiplicity 8)  15 Zn 2.88-3.10
Zn 0.0224 0.3555 0.3555 (multiplicity 24)  1 Zn 2.49
Zn 0.0883 0.0883 0.2830 (multiplicity 24)  4 Zn 2.46-2.72

Output
For the energy of formation, the calculation gives -0.259 eV/atom. As for the density of states at the Fermi level: 14.694 states/eV/cell. For the total moment, the calculation gives 0.00 μB/cell. Its total energy is -16.245 eV/atom.

(3)
## Ge2PdRuAu (SCAN)

Data for Ge2PdRuAu at its PBEsol-relaxed geometry.

Cell: 4.6779 4.6779 4.9394 Å, 90.00 90.00 90.00°
Last column: nearest neighbours and their distance in Å.
Space group P4/mmm (No. 123)
Symmetry-distinct sites (fractional):
Ge 0.0000 0.5000 0.0000 (multiplicity 2)  2 Au 2.34
Pd 0.0000 0.0000 0.5000 (multiplicity 1)  2 Au 2.47
Ru 0.5000 0.5000 0.5000 (multiplicity 1)  4 Pd 3.31, 8 Ge 3.40
Au 0.0000 0.0000 0.0000 (multiplicity 1)  4 Ge 2.34, 2 Pd 2.47

Output
For the energy of formation, the calculation gives 1.237 eV/atom. As for the density of states at the Fermi level: 3.510 states/eV/cell. For the total moment, the calculation gives 2.82 μB/cell. Its total energy is -33.750 eV/atom.

(4)
## Al2ZnIr (SCAN)

Data for Al2ZnIr at its PBEsol-relaxed geometry.

Cell: 3.7854 3.7854 7.7558 Å, 90.00 90.00 90.00°
Last column: nearest neighbours and their distance in Å.
Space group I-4m2 (No. 119)
Symmetry-distinct sites (fractional):
Al 0.0000 0.0000 0.0000 (multiplicity 2)  4 Zn 2.68, 4 Ir 2.71, 4 Al 2.71
Al 0.0000 0.5000 0.2500 (multiplicity 2)  4 Ir 2.68, 4 Al 2.71, 4 Zn 2.71
Zn 0.0000 0.0000 0.5000 (multiplicity 2)  8 Al 2.68-2.71, 4 Ir 2.71
Ir 0.0000 0.5000 0.7500 (multiplicity 2)  8 Al 2.68-2.71, 4 Zn 2.71

Output
For the energy of formation, the calculation gives -0.613 eV/atom. As for the density of states at the Fermi level: 1.474 states/eV/cell. For the total moment, the calculation gives 0.00 μB/cell. Its total energy is -25.642 eV/atom.

(5)
## BeZnNiW2 (SCAN)

Data for BeZnNiW2 at its PBEsol-relaxed geometry.

Cell: 4.5114 4.5114 4.1142 Å, 90.00 90.00 90.00°
Last column: nearest neighbours and their distance in Å.
Space group P4/mmm (No. 123)
Symmetry-distinct sites (fractional):
Be 0.0000 0.0000 0.0000 (multiplicity 1)  8 W 3.05, 4 Ni 3.19
Zn 0.5000 0.5000 0.5000 (multiplicity 1)  2 Ni 2.06, 4 W 2.26
Ni 0.5000 0.5000 0.0000 (multiplicity 1)  2 Zn 2.06
W 0.0000 0.5000 0.5000 (multiplicity 2)  2 Zn 2.26

Output
For the energy of formation, the calculation gives 2.081 eV/atom. As for the density of states at the Fermi level: 5.897 states/eV/cell. For the total moment, the calculation gives 0.00 μB/cell. Its total energy is -32.602 eV/atom.

(6)
## YGaAu2 (SCAN)

Data for YGaAu2 at its PBEsol-relaxed geometry.

Cell: 6.7351 6.7351 6.7351 Å, 90.00 90.00 90.00°
Last column: nearest neighbours and their distance in Å.
Space group Fm-3m (No. 225)
Symmetry-distinct sites (fractional):
Y 0.0000 0.0000 0.0000 (multiplicity 4)  8 Au 2.92
Ga 0.0000 0.0000 0.5000 (multiplicity 4)  8 Au 2.92
Au 0.2500 0.2500 0.2500 (multiplicity 8)  4 Ga 2.92, 4 Y 2.92

Output
For the energy of formation, the calculation gives -0.793 eV/atom. As for the density of states at the Fermi level: 6.804 states/eV/cell. For the total moment, the calculation gives 0.00 μB/cell. Its total energy is -46.418 eV/atom.

(7)
## La2CdSi (SCAN)

Data for La2CdSi at its PBEsol-relaxed geometry.

Cell: 3.8809 3.8809 6.9926 Å, 90.00 90.00 90.00°
Last column: nearest neighbours and their distance in Å.
Space group P4/mmm (No. 123)
Symmetry-distinct sites (fractional):
La 0.0000 0.0000 0.2169 (multiplicity 2)  1 La 3.03, 4 Si 3.14, 4 Cd 3.38
Cd 0.5000 0.5000 0.5000 (multiplicity 1)  8 La 3.38, 2 Si 3.50
Si 0.5000 0.5000 0.0000 (multiplicity 1)  8 La 3.14, 2 Cd 3.50

Output
As for the density of states at the Fermi level: 2.510 states/eV/cell. For the total moment, the calculation gives 0.00 μB/cell. Its total energy is -32.187 eV/atom. As for the uncorrected formation energy: -527 meV/atom.

(8)
## BAsO3 (SCAN)

Data for BAsO3 at its PBEsol-relaxed geometry.

Cell: 3.6491 3.6491 3.6491 Å, 90.00 90.00 90.00°
Last column: nearest neighbours and their distance in Å.
Space group Pm-3m (No. 221)
Symmetry-distinct sites (fractional):
B 0.0000 0.0000 0.0000 (multiplicity 1)  12 O 2.58
As 0.5000 0.5000 0.5000 (multiplicity 1)  6 O 1.82
O 0.0000 0.5000 0.5000 (multiplicity 3)  2 As 1.82

Output
As for the density of states at the Fermi level: 1.334 states/eV/cell. For the total moment, the calculation gives 0.00 μB/cell. Its total energy is -9.139 eV/atom. As for the uncorrected formation energy: 124 meV/atom.

(9)
## SrCuH3ClO3 (SCAN)

Data for SrCuH3ClO3 at its PBEsol-relaxed geometry.

Cell: 15.9742 6.4168 6.4596 Å, 90.00 90.00 90.00°
Last column: nearest neighbours and their distance in Å.
Space group Pmn2_1 (No. 31)
Symmetry-distinct sites (fractional):
Sr 0.0000 0.1660 0.0000 (multiplicity 2)  7 O 2.49-2.64
Sr 0.1731 0.4249 0.6673 (multiplicity 4)  4 O 2.49-2.59
Cu 0.0000 0.0210 0.4969 (multiplicity 2)  4 O 1.94-1.95
Cu 0.0996 0.6991 0.1768 (multiplicity 4)  4 O 1.94-1.95
H 0.0000 0.6726 0.8820 (multiplicity 2)  1 O 0.99
H 0.1272 0.9847 0.7114 (multiplicity 4)  1 O 0.99
H 0.1374 0.0407 0.3236 (multiplicity 4)  1 O 0.99
H 0.1584 0.3558 0.1307 (multiplicity 4)  1 O 0.99
H 0.2068 0.7980 0.4199 (multiplicity 4)  1 O 0.98
Cl 0.0000 0.5606 0.5762 (multiplicity 2)  1 H 2.10
Cl 0.2416 0.8257 0.8350 (multiplicity 4)  2 H 2.12-2.24
O 0.0000 0.7543 0.0122 (multiplicity 2)  1 H 0.99
O 0.0830 0.9826 0.2784 (multiplicity 4)  1 H 0.99
O 0.0880 0.1011 0.6879 (multiplicity 4)  1 H 0.99
O 0.1179 0.4320 0.0439 (multiplicity 4)  1 H 0.99
O 0.1956 0.6608 0.3581 (multiplicity 4)  1 H 0.98

Output
As for the density of states at the Fermi level: 0.000 states/eV/cell. For the total moment, the calculation gives 6.00 μB/cell. Its total energy is -9.854 eV/atom.

(10)
## SeBrNF2 (SCAN)

Data for SeBrNF2 at its PBEsol-relaxed geometry.

Cell: 4.7060 4.7060 3.6349 Å, 90.00 90.00 90.00°
Last column: nearest neighbours and their distance in Å.
Space group P4/mmm (No. 123)
Symmetry-distinct sites (fractional):
Se 0.0000 0.0000 0.0000 (multiplicity 1)  8 F 2.97, 4 N 3.33
Br 0.5000 0.5000 0.5000 (multiplicity 1)  2 N 1.82
N 0.5000 0.5000 0.0000 (multiplicity 1)  2 Br 1.82
F 0.0000 0.5000 0.5000 (multiplicity 2)  2 Br 2.35

Output
As for the density of states at the Fermi level: 1.620 states/eV/cell. For the total moment, the calculation gives 2.87 μB/cell. Its total energy is -10.320 eV/atom. As for the uncorrected formation energy: 862 meV/atom.

(11)
## La2SiAsIr (SCAN)

Data for La2SiAsIr at its PBEsol-relaxed geometry.

Cell: 5.5244 5.5244 4.4661 Å, 90.00 90.00 90.00°
Last column: nearest neighbours and their distance in Å.
Space group P4/mmm (No. 123)
Symmetry-distinct sites (fractional):
La 0.0000 0.5000 0.0000 (multiplicity 2)  2 Ir 2.76
Si 0.0000 0.0000 0.5000 (multiplicity 1)  2 Ir 2.23
As 0.5000 0.5000 0.5000 (multiplicity 1)  8 La 3.55, 4 Si 3.91
Ir 0.0000 0.0000 0.0000 (multiplicity 1)  2 Si 2.23

Output
As for the density of states at the Fermi level: 2.055 states/eV/cell. For the total moment, the calculation gives 0.00 μB/cell. Its total energy is -38.376 eV/atom. As for the uncorrected formation energy: -873 meV/atom.

(12)
## LaTlSi2 (SCAN)

Data for LaTlSi2 at its PBEsol-relaxed geometry.

Cell: 3.7487 3.7487 6.4311 Å, 90.00 90.00 90.00°
Last column: nearest neighbours and their distance in Å.
Space group P4/mmm (No. 123)
Symmetry-distinct sites (fractional):
La 0.0000 0.0000 0.0000 (multiplicity 1)  2 Tl 3.22, 8 Si 3.30
Tl 0.0000 0.0000 0.5000 (multiplicity 1)  8 Si 2.93, 2 La 3.22
Si 0.5000 0.5000 0.3051 (multiplicity 2)  1 Si 2.51

Output
As for the density of states at the Fermi level: 2.597 states/eV/cell. For the total moment, the calculation gives 0.00 μB/cell. Its total energy is -33.880 eV/atom. As for the uncorrected formation energy: -6 meV/atom. The value obtained for the relative energy among the computed polymorphs is 0.053 eV per atom.